No. 1
Compound: TmPuP
Source: the Alexandria database
Functional: GGA-PBE
Structure: optimized geometry

Output
The calculation puts the energy at -8.769 eV/atom. The calculation puts the energy of formation from the pure elements at -0.70 eV per atom. The value obtained for the volume is 79 Å³ per cell. For the theoretical density, the calculation gives 9.33 Mg/m³.

Cell: 3.7466 3.7466 6.5007 Å, 90.00 90.00 120.00°
Space group P3m1 (No. 156)
Unique sites:
Tm1 0.0000 0.0000 0.0000 x1
Pu1 0.3333 0.6667 0.5185 x1
P1 0.6667 0.3333 0.2537 x1

No. 2
Compound: TmPu3P4
Source: the Alexandria database
Functional: GGA-PBE
Structure: optimized geometry

Output
The calculation puts the energy at -9.898 eV/atom. For the energy above the most stable polymorph in this dataset, the calculation gives 4 kJ/mol of formula units. The calculation puts the energy of formation from the pure elements at -1.26 eV per atom. The value obtained for the volume is 178 Å³ per cell. For the theoretical density, the calculation gives 9.54 Mg/m³.

Cell: 5.6299 5.6299 5.6299 Å, 90.00 90.00 90.00°
Space group Pm-3m (No. 221)
Unique sites:
Tm1 0.0000 0.0000 0.0000 x1
Pu1 0.0000 0.5000 0.5000 x3
P1 0.0000 0.0000 0.5000 x3
P2 0.5000 0.5000 0.5000 x1

No. 3
Compound: TmPuP2
Source: the Alexandria database
Functional: GGA-PBE
Structure: optimized geometry

Output
The calculation puts the energy at -8.573 eV/atom. For the energy above the most stable polymorph in this dataset, the calculation gives 82 kJ/mol of formula units. The calculation puts the energy of formation from the pure elements at -1.17 eV per atom. The value obtained for the volume is 184 Å³ per cell. For the theoretical density, the calculation gives 8.58 Mg/m³.

Cell: 6.7819 6.8551 3.9556 Å, 90.00 90.00 90.00°
Space group Pnnm (No. 58)
Unique sites:
Tm1 0.0000 0.0000 0.0000 x2
Pu1 0.0000 0.5000 0.0000 x2
P1 0.1659 0.2483 0.5000 x4

No. 4
Compound: Tm4PuP5
Source: the Alexandria database
Functional: GGA-PBE
Structure: optimized geometry

Output
The calculation puts the energy at -7.432 eV/atom. The calculation puts the energy of formation from the pure elements at -1.51 eV per atom. The value obtained for the volume is 437 Å³ per cell. For the theoretical density, the calculation gives 8.17 Mg/m³.

Cell: 13.0850 3.9637 9.6770 Å, 90.00 119.44 90.00°
Space group C2/m (No. 12)
Unique sites:
Tm1 0.1001 0.0000 0.4019 x4
Tm2 0.1994 0.5000 0.7974 x4
Pu1 0.0000 0.5000 0.0000 x2
P1 0.0000 0.5000 0.5000 x2
P2 0.0995 0.0000 0.9007 x4
P3 0.2000 0.5000 0.3003 x4

No. 5
Compound: TmPu2P
Source: the Alexandria database
Functional: GGA-PBE
Structure: optimized geometry

Output
The calculation puts the energy at -9.958 eV/atom. The calculation puts the energy of formation from the pure elements at -0.32 eV per atom. The value obtained for the volume is 324 Å³ per cell. For the theoretical density, the calculation gives 10.56 Mg/m³.

Cell: 3.6360 3.6360 28.3385 Å, 90.00 90.00 120.00°
Space group R-3m (No. 166, hexagonal axes)
Unique sites:
Tm1 0.0000 0.0000 0.0000 x3
Pu1 0.0000 0.0000 0.2300 x6
P1 0.0000 0.0000 0.5000 x3

No. 6
Compound: TmPuP2
Source: the Alexandria database
Functional: GGA-PBE
Structure: optimized geometry

Output
The calculation puts the energy at -8.619 eV/atom. For the energy above the most stable polymorph in this dataset, the calculation gives 64 kJ/mol of formula units. The calculation puts the energy of formation from the pure elements at -1.21 eV per atom. The value obtained for the volume is 271 Å³ per cell. For the theoretical density, the calculation gives 8.74 Mg/m³.

Cell: 3.8895 3.8895 20.6544 Å, 90.00 90.00 120.00°
Space group R3m (No. 160, hexagonal axes)
Unique sites:
Tm1 0.0000 0.0000 0.0000 x3
Pu1 0.0000 0.0000 0.1711 x3
P1 0.0000 0.0000 0.4170 x3
P2 0.0000 0.0000 0.5881 x3

> Number 5 is which compound?

TmPu2P